# 1
An optimized crystal structure of PmHo5Hg2. Source: Alexandria, functional PBE.

a b c (Å): 3.7254 8.2078 8.2078
angles (deg): 76.37 76.88 76.88
With the nearest neighbours (Å) after each atom.
Fractional coordinates of all 8 atoms:
Pm1 0.0000 0.0000 0.0000  4 Hg 3.49, 2 Pm 3.73, 8 Ho 3.77
Ho1 0.0000 0.5000 0.5000  2 Hg 3.22, 8 Ho 3.39
Ho2 0.6369 0.5871 0.1390  3 Hg 3.07-3.31, 5 Ho 3.38-3.40
Ho3 0.3631 0.4129 0.8610  3 Hg 3.07-3.31, 5 Ho 3.38-3.40
Ho4 0.3631 0.8610 0.4129  3 Hg 3.07-3.31, 5 Ho 3.38-3.40
Ho5 0.6369 0.1390 0.5871  3 Hg 3.07-3.31, 5 Ho 3.38-3.40
Hg1 0.7390 0.7610 0.7610  7 Ho 3.07-3.31
Hg2 0.2610 0.2390 0.2390  7 Ho 3.07-3.31

- energy of formation from the pure elements (eV per atom) = -0.17
- N(E_F) (states/eV/cell) = 8.181
- volume (Å³ per cell) = 233.5
- size of the total moment (Bohr magnetons per cell) = 0.0
- space group = Immm


# 2
An optimized crystal structure of Pm5HoHg3. Source: Alexandria, functional PBE.

a b c (Å): 7.0062 9.3001 9.3000
angles (deg): 120.00 90.00 90.00
With the nearest neighbours (Å) after each atom.
Fractional coordinates of all 18 atoms:
Pm1 0.0000 0.6667 0.3333  8 Pm 3.50-3.55, 6 Hg 3.58
Pm2 0.5000 0.3333 0.6667  8 Pm 3.50-3.55, 6 Hg 3.58
Pm3 0.0000 0.3333 0.6667  8 Pm 3.50-3.55, 6 Hg 3.58
Pm4 0.5000 0.6667 0.3333  8 Pm 3.50-3.55, 6 Hg 3.58
Pm5 0.7500 0.6650 0.6650  3 Hg 3.08-3.13
Pm6 0.7500 0.0000 0.3350  3 Hg 3.08-3.13
Pm7 0.7500 0.3349 0.0000  3 Hg 3.08-3.13
Pm8 0.2500 0.3350 0.3350  3 Hg 3.08-3.13
Pm9 0.2500 0.0000 0.6650  3 Hg 3.08-3.13
Pm10 0.2500 0.6651 0.0000  3 Hg 3.08-3.13
Ho1 0.0000 0.0000 0.0000  2 Ho 3.50, 6 Hg 3.52, 6 Pm 3.57
Ho2 0.5000 0.0000 0.0000  2 Ho 3.50, 6 Hg 3.52, 6 Pm 3.57
Hg1 0.7500 0.3282 0.3283  3 Pm 3.08-3.13
Hg2 0.7500 0.0000 0.6717  3 Pm 3.08-3.13
Hg3 0.7500 0.6718 0.0000  3 Pm 3.08-3.13
Hg4 0.2500 0.6718 0.6717  3 Pm 3.08-3.13
Hg5 0.2500 0.0000 0.3283  3 Pm 3.08-3.13
Hg6 0.2500 0.3282 0.0000  3 Pm 3.08-3.13

- energy of formation from the pure elements (eV per atom) = -0.29
- N(E_F) (states/eV/cell) = 15.945
- volume (Å³ per cell) = 524.8
- size of the total moment (Bohr magnetons per cell) = 0.0
- space group = P6_3/mcm


# 3
An optimized crystal structure of Pm3HoHg. Source: Alexandria, functional PBE.

a b c (Å): 6.8508 6.8508 8.8556
angles (deg): 88.41 119.96 112.97
With the nearest neighbours (Å) after each atom.
Fractional coordinates of all 10 atoms:
Pm1 0.7348 0.9142 0.1446  2 Hg 3.27-3.28, 3 Ho 3.53-3.56, 5 Pm 3.53-3.62
Pm2 0.2304 0.4098 0.1446  2 Hg 3.27-3.28, 3 Ho 3.53-3.56, 5 Pm 3.53-3.62
Pm3 0.7696 0.5902 0.8554  2 Hg 3.27-3.28, 3 Ho 3.53-3.56, 5 Pm 3.53-3.62
Pm4 0.8196 0.4451 0.2647  2 Hg 3.42-3.53, 7 Pm 3.53-3.62, 2 Ho 3.78
Pm5 0.2652 0.0858 0.8554  2 Hg 3.27-3.28, 3 Ho 3.53-3.56, 5 Pm 3.53-3.62
Pm6 0.1804 0.5549 0.7353  2 Hg 3.42-3.53, 7 Pm 3.53-3.62, 2 Ho 3.78
Ho1 0.6814 0.0602 0.7416  2 Hg 3.26-3.28, 6 Pm 3.53-3.56, 1 Ho 3.63
Ho2 0.3186 0.9398 0.2584  2 Hg 3.26-3.28, 6 Pm 3.53-3.56, 1 Ho 3.63
Hg1 0.7377 0.7616 0.4993  2 Ho 3.26-3.28, 6 Pm 3.27-3.53
Hg2 0.2623 0.2384 0.5007  2 Ho 3.26-3.28, 6 Pm 3.27-3.53

- energy of formation from the pure elements (eV per atom) = -0.10
- N(E_F) (states/eV/cell) = 10.016
- volume (Å³ per cell) = 324.2
- size of the total moment (Bohr magnetons per cell) = 0.0
- space group = C2/m
- E above lowest polymorph (eV/atom) = 0.000


# 4
An optimized crystal structure of Pm3Ho2Hg2. Source: Alexandria, functional PBE.

a b c (Å): 5.4315 5.4267 8.6079
angles (deg): 108.40 90.00 120.03
With the nearest neighbours (Å) after each atom.
Fractional coordinates of all 7 atoms:
Pm1 0.5000 0.0000 0.0000  6 Hg 3.32
Pm2 0.6590 0.3180 0.4766  1 Hg 3.11, 3 Pm 3.16
Pm3 0.3410 0.6820 0.5234  1 Hg 3.11, 3 Pm 3.16
Ho1 0.9256 0.8513 0.2769  4 Hg 3.30-3.34, 3 Pm 3.52, 1 Ho 3.58
Ho2 0.0744 0.1487 0.7231  4 Hg 3.30-3.34, 3 Pm 3.52, 1 Ho 3.58
Hg1 0.7885 0.5770 0.8648  4 Pm 3.11-3.32, 4 Ho 3.30-3.34
Hg2 0.2115 0.4230 0.1352  4 Pm 3.11-3.32, 4 Ho 3.30-3.34

- energy of formation from the pure elements (eV per atom) = -0.24
- N(E_F) (states/eV/cell) = 7.102
- volume (Å³ per cell) = 204.5
- size of the total moment (Bohr magnetons per cell) = 0.0
- space group = C2/m
- E above lowest polymorph (eV/atom) = 0.000


# 5
An optimized crystal structure of PmHo6Hg2. Source: Alexandria, functional PBE.

a b c (Å): 3.7210 6.5627 11.6428
angles (deg): 75.28 80.80 73.53
With the nearest neighbours (Å) after each atom.
Fractional coordinates of all 9 atoms:
Pm1 0.0000 0.0000 0.0000  4 Hg 3.23
Ho1 0.6878 0.4997 0.1247  2 Hg 3.20, 5 Ho 3.42-3.51
Ho2 0.3122 0.5003 0.8753  2 Hg 3.20, 5 Ho 3.42-3.51
Ho3 0.3127 0.7916 0.5830  2 Hg 3.21, 8 Ho 3.43-3.56
Ho4 0.9850 0.6905 0.3396  2 Hg 3.17, 6 Ho 3.50-3.53
Ho5 0.0150 0.3095 0.6604  2 Hg 3.17, 6 Ho 3.50-3.53
Ho6 0.6873 0.2084 0.4170  2 Hg 3.21, 8 Ho 3.43-3.56
Hg1 0.3514 0.0820 0.2152  6 Ho 3.17-3.21, 2 Pm 3.23
Hg2 0.6486 0.9180 0.7848  6 Ho 3.17-3.21, 2 Pm 3.23

- energy of formation from the pure elements (eV per atom) = -0.20
- N(E_F) (states/eV/cell) = 9.517
- volume (Å³ per cell) = 262.5
- size of the total moment (Bohr magnetons per cell) = 0.0
- space group = C2/m


# 6
An optimized crystal structure of Pm3Ho2Hg2. Source: Alexandria, functional PBE.

a b c (Å): 4.9430 3.5274 11.8874
angles (deg): 90.00 78.00 90.00
With the nearest neighbours (Å) after each atom.
Fractional coordinates of all 7 atoms:
Pm1 0.8570 0.0000 0.2859  3 Pm 3.32-3.53, 4 Ho 3.41, 4 Hg 3.47
Pm2 0.0000 0.0000 0.0000  4 Pm 3.32-3.53, 8 Hg 3.46
Pm3 0.1430 0.0000 0.7141  3 Pm 3.32-3.53, 4 Ho 3.41, 4 Hg 3.47
Ho1 0.7095 0.5000 0.5811  2 Ho 3.11, 1 Hg 3.22, 4 Pm 3.41
Ho2 0.2905 0.5000 0.4189  2 Ho 3.11, 1 Hg 3.22, 4 Pm 3.41
Hg1 0.5712 0.5000 0.8577  1 Ho 3.22, 3 Hg 3.31-3.53, 8 Pm 3.46-3.47
Hg2 0.4288 0.5000 0.1423  1 Ho 3.22, 3 Hg 3.31-3.53, 8 Pm 3.46-3.47

- energy of formation from the pure elements (eV per atom) = -0.12
- N(E_F) (states/eV/cell) = 8.582
- volume (Å³ per cell) = 202.7
- size of the total moment (Bohr magnetons per cell) = 0.2
- space group = Cmmm
- E above lowest polymorph (eV/atom) = 0.121


# 7
An optimized crystal structure of Pm2Ho6Hg. Source: Alexandria, functional PBE.

a b c (Å): 3.5516 10.1555 9.4499
angles (deg): 122.50 100.81 90.00
With the nearest neighbours (Å) after each atom.
Fractional coordinates of all 9 atoms:
Pm1 0.1435 0.6431 0.2862  10 Ho 3.50-3.66, 2 Pm 3.55
Pm2 0.8565 0.3569 0.7138  10 Ho 3.50-3.66, 2 Pm 3.55
Ho1 0.1805 0.3399 0.3605  1 Hg 3.24, 7 Ho 3.24-3.55, 1 Pm 3.50
Ho2 0.8195 0.9793 0.6395  1 Hg 3.24, 7 Ho 3.24-3.55, 1 Pm 3.50
Ho3 0.8195 0.6601 0.6395  1 Hg 3.24, 7 Ho 3.24-3.55, 1 Pm 3.50
Ho4 0.5000 0.2738 0.0000  2 Hg 3.30, 6 Ho 3.51-3.55, 4 Pm 3.66
Ho5 0.1805 0.0207 0.3605  1 Hg 3.24, 7 Ho 3.24-3.55, 1 Pm 3.50
Ho6 0.5000 0.7262 0.0000  2 Hg 3.30, 6 Ho 3.51-3.55, 4 Pm 3.66
Hg1 0.0000 0.0000 0.0000  8 Ho 3.24-3.30, 2 Hg 3.55

- energy of formation from the pure elements (eV per atom) = -0.01
- N(E_F) (states/eV/cell) = 9.832
- volume (Å³ per cell) = 280.3
- size of the total moment (Bohr magnetons per cell) = 0.0
- space group = Immm


# 8
An optimized crystal structure of Pm2HoHg. Source: Alexandria, functional PBE.

a b c (Å): 3.6909 3.6909 8.9200
angles (deg): 90.00 90.00 90.00
With the nearest neighbours (Å) after each atom.
Fractional coordinates of all 4 atoms:
Pm1 0.0000 0.0000 0.7751  4 Hg 3.29, 4 Ho 3.58
Pm2 0.0000 0.0000 0.2249  4 Hg 3.29, 4 Ho 3.58
Hg1 0.5000 0.5000 0.0000  8 Pm 3.29
Ho1 0.5000 0.5000 0.5000  8 Pm 3.58, 4 Ho 3.69

- energy of formation from the pure elements (eV per atom) = -0.21
- N(E_F) (states/eV/cell) = 4.627
- volume (Å³ per cell) = 121.5
- size of the total moment (Bohr magnetons per cell) = 0.0
- space group = P4/mmm
- E above lowest polymorph (eV/atom) = 0.014